DFT (PBE) results for a geometry-optimized AlTlRu2 structure.

formation enthalpy at 0 K: 1.02 eV per formula unit
E: -5.91 eV per atom
ρ: 10.71 g cm⁻³
DOS at the Fermi energy: 0.98 states/eV per atom
E above lowest polymorph: 0.2135 eV per atom

Lattice parameters (Å, degrees): 3.1921 3.1921 6.5936 90.00 90.00 90.00
Site moments in Bohr magnetons follow the coordinates.
Positions (direct):
Ru 0.0000 0.0000 0.9752  0.75
Ru 0.5000 0.5000 0.2243  0.89
Tl 0.0000 0.0000 0.4900  0.00
Al 0.5000 0.5000 0.8105  -0.01